# AlTl6S4 | Alexandria | GGA-PBE | optimized geometry
# V in Å³ per cell: 639
# Energy relative to the elements, uncorrected in eV/atom: -0.43
# SG: No. 186
data_AlTl6S4
_space_group_name_H-M_alt 'P 1'
_space_group_IT_number 1
_space_group_name_Hall 'P 1'
_cell_length_a 7.325
_cell_length_b 10.037
_cell_length_c 10.037
_cell_angle_alpha 120.00
_cell_angle_beta 90.00
_cell_angle_gamma 90.00
loop_
_atom_site_label
_atom_site_fract_x
_atom_site_fract_y
_atom_site_fract_z
S1 0.336 0.792 0.583
S2 0.925 0.667 0.333
S3 0.336 0.792 0.208
S4 0.336 0.417 0.208
S5 0.836 0.208 0.417
S6 0.836 0.208 0.792
S7 0.425 0.333 0.667
S8 0.836 0.583 0.792
Tl1 0.146 0.064 0.532
Tl2 0.462 0.746 0.873
Tl3 0.462 0.127 0.254
Tl4 0.646 0.936 0.468
Tl5 0.962 0.873 0.127
Tl6 0.646 0.532 0.064
Tl7 0.146 0.468 0.936
Tl8 0.962 0.873 0.746
Tl9 0.146 0.468 0.532
Tl10 0.646 0.532 0.468
Tl11 0.962 0.254 0.127
Tl12 0.462 0.127 0.873
Al1 0.234 0.667 0.333
Al2 0.734 0.333 0.667